# Li2HgOs PBE relaxed
data_Li2HgOs
_chemical_formula_sum 'Li4 Hg2 Os2'
_symmetry_space_group_name_H-M 'I 4/m m m'
_symmetry_Int_Tables_number 139
_symmetry_space_group_name_Hall '-I 4 2'
_cell_length_a 3.8995
_cell_length_b 3.8995
_cell_length_c 8.1025
_cell_angle_alpha 90.00
_cell_angle_beta 90.00
_cell_angle_gamma 90.00
loop_
_atom_site_label
_atom_site_fract_x
_atom_site_fract_y
_atom_site_fract_z
_atom_site_occupancy
Li1 0.0000 0.5000 0.2500 1
Hg1 0.0000 0.0000 0.0000 1
Os1 0.0000 0.0000 0.5000 1
# final energy: -3.47 eV/atom
# spin magnetization: 0.1 μB per cell
# theoretical density: 10.9 g/cm3


# Pa4Ga PBE relaxed
data_Pa4Ga
_chemical_formula_sum 'Pa4 Ga1'
_symmetry_space_group_name_H-M 'P m -3 m'
_symmetry_Int_Tables_number 221
_symmetry_space_group_name_Hall '-P 4 2 3'
_cell_length_a 5.3071
_cell_length_b 5.3071
_cell_length_c 5.3071
_cell_angle_alpha 90.00
_cell_angle_beta 90.00
_cell_angle_gamma 90.00
loop_
_atom_site_label
_atom_site_fract_x
_atom_site_fract_y
_atom_site_fract_z
_atom_site_occupancy
Pa1 0.0000 0.0000 0.0000 1
Pa2 0.0000 0.5000 0.5000 1
Ga1 0.5000 0.5000 0.5000 1
# ΔE to the lowest computed polymorph: 96.2 kJ/mol of atoms
# final energy: -7.27 eV/atom
# spin magnetization: 1.0 μB per cell
# theoretical density: 11.0 g/cm3


# Er4Nb6O19 PBE relaxed
data_Er4Nb6O19
_chemical_formula_sum 'Er8 Nb12 O38'
_symmetry_space_group_name_H-M 'I 2 3'
_symmetry_Int_Tables_number 197
_symmetry_space_group_name_Hall 'I 2 2 3'
_cell_length_a 9.1013
_cell_length_b 9.1013
_cell_length_c 9.1013
_cell_angle_alpha 90.00
_cell_angle_beta 90.00
_cell_angle_gamma 90.00
loop_
_atom_site_label
_atom_site_fract_x
_atom_site_fract_y
_atom_site_fract_z
_atom_site_occupancy
Er1 0.1432 0.1432 0.8568 1
Nb1 0.0000 0.3464 0.5000 1
O1 0.0000 0.0000 0.0000 1
O2 0.0000 0.0000 0.3276 1
O3 0.0462 0.3171 0.7123 1
# final energy: -8.78 eV/atom
# spin magnetization: 4.2 μB per cell
# theoretical density: 6.7 g/cm3


# Zn2In2Hg PBE relaxed
data_Zn2In2Hg
_chemical_formula_sum 'Zn4 In4 Hg2'
_symmetry_space_group_name_H-M 'P 4/m b m'
_symmetry_Int_Tables_number 127
_symmetry_space_group_name_Hall '-P 4 2ab'
_cell_length_a 8.4982
_cell_length_b 8.4982
_cell_length_c 3.1892
_cell_angle_alpha 90.00
_cell_angle_beta 90.00
_cell_angle_gamma 90.00
loop_
_atom_site_label
_atom_site_fract_x
_atom_site_fract_y
_atom_site_fract_z
_atom_site_occupancy
Zn1 0.1112 0.3888 0.0000 1
In1 0.1866 0.6866 0.5000 1
Hg1 0.0000 0.0000 0.5000 1
# ΔE to the lowest computed polymorph: 3.6 kJ/mol of atoms
# final energy: -1.56 eV/atom
# spin magnetization: 0.0 μB per cell
# theoretical density: 8.1 g/cm3


# Ho2Si3Ir4Rh PBE relaxed
data_Ho2Si3Ir4Rh
_chemical_formula_sum 'Ho2 Si3 Ir4 Rh1'
_symmetry_space_group_name_H-M 'P -4 m 2'
_symmetry_Int_Tables_number 115
_symmetry_space_group_name_Hall 'P -4 -2'
_cell_length_a 4.0985
_cell_length_b 4.0985
_cell_length_c 10.1666
_cell_angle_alpha 90.00
_cell_angle_beta 90.00
_cell_angle_gamma 90.00
loop_
_atom_site_label
_atom_site_fract_x
_atom_site_fract_y
_atom_site_fract_z
_atom_site_occupancy
Ho1 0.0000 0.5000 0.2446 1
Si1 0.0000 0.5000 0.8716 1
Si2 0.5000 0.5000 0.5000 1
Ir1 0.0000 0.0000 0.0000 1
Ir2 0.0000 0.5000 0.6419 1
Ir3 0.5000 0.5000 0.0000 1
Rh1 0.0000 0.0000 0.5000 1
# final energy: -7.73 eV/atom
# spin magnetization: 0.0 μB per cell
# theoretical density: 12.5 g/cm3


# Ti2NbOs3 PBE relaxed
data_Ti2NbOs3
_chemical_formula_sum 'Ti2 Nb1 Os3'
_symmetry_space_group_name_H-M 'P 4/m m m'
_symmetry_Int_Tables_number 123
_symmetry_space_group_name_Hall '-P 4 2'
_cell_length_a 3.1021
_cell_length_b 3.1021
_cell_length_c 9.5080
_cell_angle_alpha 90.00
_cell_angle_beta 90.00
_cell_angle_gamma 90.00
loop_
_atom_site_label
_atom_site_fract_x
_atom_site_fract_y
_atom_site_fract_z
_atom_site_occupancy
Ti1 0.0000 0.0000 0.1621 1
Nb1 0.0000 0.0000 0.5000 1
Os1 0.5000 0.5000 0.0000 1
Os2 0.5000 0.5000 0.3222 1
# final energy: -10.45 eV/atom
# spin magnetization: 0.0 μB per cell
# theoretical density: 13.8 g/cm3


# NbAlTe4 PBE relaxed
data_NbAlTe4
_chemical_formula_sum 'Nb4 Al4 Te16'
_symmetry_space_group_name_H-M 'C 1 2/c 1'
_symmetry_Int_Tables_number 15
_symmetry_space_group_name_Hall '-C 2yc'
_cell_length_a 8.8376
_cell_length_b 15.9476
_cell_length_c 6.2284
_cell_angle_alpha 90.00
_cell_angle_beta 129.99
_cell_angle_gamma 90.00
loop_
_atom_site_label
_atom_site_fract_x
_atom_site_fract_y
_atom_site_fract_z
_atom_site_occupancy
Nb1 0.0000 0.0494 0.2500 1
Al1 0.0000 0.2984 0.7500 1
Te1 0.1805 0.1923 0.2083 1
Te2 0.2192 0.4429 0.1688 1
# final energy: -4.62 eV/atom
# spin magnetization: 0.0 μB per cell
# theoretical density: 6.2 g/cm3


# BaIr2Br PBE relaxed
data_BaIr2Br
_chemical_formula_sum 'Ba2 Ir4 Br2'
_symmetry_space_group_name_H-M 'C 1 m 1'
_symmetry_Int_Tables_number 8
_symmetry_space_group_name_Hall 'C -2y'
_cell_length_a 7.5533
_cell_length_b 4.0515
_cell_length_c 8.6019
_cell_angle_alpha 90.00
_cell_angle_beta 106.17
_cell_angle_gamma 90.00
loop_
_atom_site_label
_atom_site_fract_x
_atom_site_fract_y
_atom_site_fract_z
_atom_site_occupancy
Ba1 0.0000 0.0000 0.0000 1
Ir1 0.2613 0.5000 0.3090 1
Ir2 0.4435 0.0000 0.3094 1
Br1 0.2431 0.0000 0.7558 1
# ΔE to the lowest computed polymorph: 0.0 kJ/mol of atoms
# final energy: -5.52 eV/atom
# spin magnetization: 0.0 μB per cell
# theoretical density: 7.9 g/cm3


Which formula does entry 7 have?
NbAlTe4


What is the theoretical density in the sixth record?
13.8 g/cm3